## Ba2HoMnTe5 (PBE)

Data for Ba2HoMnTe5 after structural relaxation.

Properties
SG: Cmc2_1, No. 36
DOS at the Fermi energy (states/eV/atom): 0.344
Calculated total energy (eV per atom): -4.91
Formation energy without anion corrections (meV/atom): -1210.8

a = 4.559 Å, b = 10.289 Å, c = 14.190 Å
α = 90.00°, β = 90.00°, γ = 102.80°
Last column: magnetic moment on the atom in μB.
Element x y z (fractional)
Mn 0.563 0.127 0.925  3.78
Mn 0.437 0.873 0.425  3.78
Ba 0.872 0.744 0.194  0.01
Ba 0.128 0.256 0.694  0.01
Ba 0.881 0.762 0.835  0.01
Ba 0.119 0.238 0.335  0.01
Te 0.694 0.387 0.172  -0.01
Te 0.497 0.993 0.262  -0.05
Te 0.308 0.616 0.375  -0.01
Te 0.038 0.075 0.018  -0.08
Te 0.503 0.007 0.762  -0.05
Te 0.692 0.384 0.875  -0.01
Te 0.306 0.613 0.672  -0.01
Te 0.345 0.690 0.013  -0.02
Te 0.962 0.925 0.518  -0.08
Te 0.655 0.310 0.513  -0.02
Ho 0.196 0.393 0.029  0.02
Ho 0.804 0.607 0.529  0.02


## SrLiPrPt (PBE)

Data for SrLiPrPt after structural relaxation.

Properties
SG: F-43m, No. 216
DOS at the Fermi energy (states/eV/atom): 0.985
Calculated total energy (eV per atom): -4.04
Formation energy (eV/atom): -0.437

a = 5.242 Å, b = 5.242 Å, c = 5.242 Å
α = 60.00°, β = 60.00°, γ = 60.00°
Element x y z (fractional)
Pr 0.500 0.500 0.500
Pt 0.750 0.750 0.750
Li 0.250 0.250 0.250
Sr 0.000 0.000 0.000


## RbNaPbO3 (PBE)

Data for RbNaPbO3 after structural relaxation.

Properties
SG: Cmcm, No. 63
Calculated total energy (eV per atom): -4.72
Formation energy without anion corrections (meV/atom): -1244.3

a = 6.040 Å, b = 6.153 Å, c = 6.754 Å
α = 117.10°, β = 90.00°, γ = 90.00°
Last column: magnetic moment on the atom in μB.
Element x y z (fractional)
O 0.500 0.767 0.000  0.00
O 0.750 0.768 0.536  0.05
O 0.000 0.767 0.000  0.00
O 0.500 0.233 0.000  0.00
O 0.250 0.232 0.464  0.05
O 0.000 0.233 0.000  0.00
Rb 0.250 0.739 0.478  0.00
Rb 0.750 0.261 0.522  0.00
Pb 0.250 0.060 0.120  0.00
Pb 0.750 0.940 0.880  0.00
Na 0.750 0.576 0.151  0.00
Na 0.250 0.424 0.849  0.00


## InOs2Ru (PBE)

Data for InOs2Ru after structural relaxation.

Properties
SG: P4/mmm, No. 123
DOS at the Fermi energy (states/eV/atom): 0.939
Calculated total energy (eV per atom): -8.23
Formation energy (eV/atom): 0.390

a = 2.820 Å, b = 2.820 Å, c = 7.863 Å
α = 90.00°, β = 90.00°, γ = 90.00°
Element x y z (fractional)
Ru 0.500 0.500 0.250
Os 0.000 0.000 0.021
Os 0.000 0.000 0.479
In 0.500 0.500 0.750


## K2ZnHgP (PBE)

Data for K2ZnHgP after structural relaxation.

Properties
SG: P4/mmm, No. 123
DOS at the Fermi energy (states/eV/atom): 0.498
Calculated total energy (eV per atom): -2.00
Formation energy (eV/atom): -0.163

a = 6.407 Å, b = 6.407 Å, c = 4.557 Å
α = 90.00°, β = 90.00°, γ = 90.00°
Element x y z (fractional)
P 0.000 0.000 0.000
K 0.500 0.000 0.000
K 0.000 0.500 0.000
Zn 0.000 0.000 0.500
Hg 0.500 0.500 0.500


## La2SbCl (PBE)

Data for La2SbCl after structural relaxation.

Properties
SG: P2/m, No. 10
DOS at the Fermi energy (states/eV/atom): 0.756
Calculated total energy (eV per atom): -5.28
Formation energy without anion corrections (meV/atom): -1319.9

a = 4.096 Å, b = 4.031 Å, c = 7.635 Å
α = 89.64°, β = 90.00°, γ = 90.00°
Last column: magnetic moment on the atom in μB.
Element x y z (fractional)
La 0.000 0.753 0.017  0.13
La 0.000 0.747 0.483  0.13
Sb 0.500 0.250 0.250  -0.01
Cl 0.500 0.750 0.750  0.00


Which value of calculated total energy does entry 6 give? -5.28 eV per atom


Among the records above, which one has the lowest calculated total energy? InOs2Ru


Repeat the third record exactly.
## RbNaPbO3 (PBE)

Data for RbNaPbO3 after structural relaxation.

Properties
SG: Cmcm, No. 63
Calculated total energy (eV per atom): -4.72
Formation energy without anion corrections (meV/atom): -1244.3

a = 6.040 Å, b = 6.153 Å, c = 6.754 Å
α = 117.10°, β = 90.00°, γ = 90.00°
Last column: magnetic moment on the atom in μB.
Element x y z (fractional)
O 0.500 0.767 0.000  0.00
O 0.750 0.768 0.536  0.05
O 0.000 0.767 0.000  0.00
O 0.500 0.233 0.000  0.00
O 0.250 0.232 0.464  0.05
O 0.000 0.233 0.000  0.00
Rb 0.250 0.739 0.478  0.00
Rb 0.750 0.261 0.522  0.00
Pb 0.250 0.060 0.120  0.00
Pb 0.750 0.940 0.880  0.00
Na 0.750 0.576 0.151  0.00
Na 0.250 0.424 0.849  0.00